i:
LiHf2Os2 PBE optimized geometry; crystal system = tetragonal; total magnetization = 0.000 μB/atom
1.0
7.6039 0.0000 0.0000
0.0000 7.6039 0.0000
0.0000 0.0000 3.1816
Li Hf Os
2 4 4
direct
0.0000 0.0000 0.0000
0.5000 0.5000 0.0000
0.1534 0.3466 0.5000
0.3466 0.8466 0.5000
0.6534 0.1534 0.5000
0.8466 0.6534 0.5000
0.1413 0.6413 0.0000
0.3587 0.1413 0.0000
0.6413 0.8587 0.0000
0.8587 0.3587 0.0000

---

ii:
LiHf2Os2 PBE optimized geometry; crystal system = tetragonal; total magnetization = 0.000 μB/atom
1.0
-2.2083 2.2083 5.4837
2.2083 -2.2083 5.4837
2.2083 2.2083 -5.4837
Li Hf Os
1 2 2
direct
0.0000 0.0000 0.0000
0.2500 0.7500 0.5000
0.7500 0.2500 0.5000
0.3866 0.3866 0.0000
0.6134 0.6134 0.0000

---

The computed energies, referenced to the most stable structure and given in meV/atom, are i 0; ii 294.

---

i:
LiHf2Os PBE optimized geometry; crystal system = cubic; total magnetization = 0.000 μB/atom
1.0
0.0000 3.2659 3.2659
3.2659 0.0000 3.2659
3.2659 3.2659 0.0000
Li Hf Os
1 2 1
direct
0.0000 0.0000 0.0000
0.2500 0.2500 0.2500
0.7500 0.7500 0.7500
0.5000 0.5000 0.5000

---

ii:
LiHf2Os PBE optimized geometry; crystal system = tetragonal; total magnetization = 0.000 μB/atom
1.0
-3.6466 3.6466 2.8714
3.6466 -3.6466 2.8714
3.6466 3.6466 -2.8714
Li Hf Os
2 4 2
direct
0.0000 0.0000 0.0000
0.7500 0.2500 0.5000
0.1422 0.6250 0.0172
0.3750 0.3922 0.5172
0.6078 0.1250 0.9828
0.8750 0.8578 0.4828
0.2500 0.7500 0.5000
0.5000 0.5000 0.0000

---

The computed energies, referenced to the most stable structure and given in meV/atom, are i 0; ii 693.

---

i:
LiHfP3 PBE optimized geometry; crystal system = cubic; total magnetization = 0.000 μB/atom
1.0
4.9852 0.0000 0.0000
0.0000 4.9852 0.0000
0.0000 0.0000 4.9852
Li Hf P
1 1 3
direct
0.0000 0.0000 0.0000
0.5000 0.5000 0.5000
0.0000 0.5000 0.5000
0.5000 0.0000 0.5000
0.5000 0.5000 0.0000

---

ii:
LiHfP3 PBE optimized geometry; crystal system = cubic; total magnetization = 0.000 μB/atom
1.0
4.3174 0.0000 0.0000
0.0000 4.3174 0.0000
0.0000 0.0000 4.3174
Li Hf P
1 1 3
direct
0.0000 0.0000 0.0000
0.5000 0.5000 0.5000
0.0000 0.0000 0.5000
0.0000 0.5000 0.0000
0.5000 0.0000 0.0000

---

The computed energies, referenced to the most stable structure and given in meV/atom, are i 0; ii 323.

---

i:
LiHfP2 PBE optimized geometry; crystal system = trigonal; total magnetization = 0.000 μB/atom
1.0
1.9039 1.0992 5.3529
-1.9039 1.0992 5.3529
0.0000 -2.1984 5.3529
Li Hf P
1 1 2
direct
0.0000 0.0000 0.0000
0.8196 0.8196 0.8196
0.2452 0.2452 0.2452
0.3949 0.3949 0.3949

---

ii:
LiHfP2 PBE optimized geometry; crystal system = trigonal; total magnetization = 0.000 μB/atom
1.0
1.8713 1.0804 6.0575
-1.8713 1.0804 6.0575
0.0000 -2.1608 6.0575
Li Hf P
1 1 2
direct
0.0000 0.0000 0.0000
0.5000 0.5000 0.5000
0.2472 0.2472 0.2472
0.7528 0.7528 0.7528

---

The computed energies, referenced to the most stable structure and given in meV/atom, are i 0; ii 74.

---

i:
LiHfP2 PBE optimized geometry; crystal system = tetragonal; total magnetization = 0.000 μB/atom
1.0
-3.3625 3.3625 2.9804
3.3625 -3.3625 2.9804
3.3625 3.3625 -2.9804
Li Hf P
2 2 4
direct
0.0000 0.0000 0.0000
0.7500 0.2500 0.5000
0.2500 0.7500 0.5000
0.5000 0.5000 0.0000
0.1102 0.6250 0.9852
0.3750 0.3602 0.4852
0.6398 0.1250 0.0148
0.8750 0.8898 0.5148

---

ii:
LiHfP2 PBE optimized geometry; crystal system = cubic; total magnetization = 0.000 μB/atom
1.0
0.0000 3.1850 3.1850
3.1850 0.0000 3.1850
3.1850 3.1850 0.0000
Li Hf P
1 1 2
direct
0.0000 0.0000 0.0000
0.5000 0.5000 0.5000
0.2500 0.2500 0.2500
0.7500 0.7500 0.7500

---

The computed energies, referenced to the most stable structure and given in meV/atom, are i 20; ii 0.

---

i:
LiHfPS2 PBE optimized geometry; crystal system = tetragonal; total magnetization = 0.114 μB/atom
1.0
4.9603 0.0000 0.0000
0.0000 4.9603 0.0000
0.0000 0.0000 5.0258
Li Hf P S
1 1 1 2
direct
0.0000 0.0000 0.0000
0.5000 0.5000 0.5000
0.5000 0.5000 0.0000
0.0000 0.5000 0.5000
0.5000 0.0000 0.5000

---

ii:
LiHfPS2 PBE optimized geometry; crystal system = tetragonal; total magnetization = 0.000 μB/atom
1.0
4.3631 0.0000 0.0000
0.0000 4.3631 0.0000
0.0000 0.0000 4.3171
Li Hf P S
1 1 1 2
direct
0.0000 0.0000 0.0000
0.5000 0.5000 0.5000
0.0000 0.0000 0.5000
0.0000 0.5000 0.0000
0.5000 0.0000 0.0000

---

The computed energies, referenced to the most stable structure and given in meV/atom, are i 0; ii 633.

---

i:
LiHf2Pb2 PBE optimized geometry; crystal system = tetragonal; total magnetization = 0.000 μB/atom
1.0
7.2504 0.0000 0.0000
0.0000 7.2504 0.0000
0.0000 0.0000 4.3358
Li Hf Pb
2 4 4
direct
0.0000 0.0000 0.0000
0.5000 0.5000 0.0000
0.1658 0.3342 0.5000
0.3342 0.8342 0.5000
0.6658 0.1658 0.5000
0.8342 0.6658 0.5000
0.1457 0.6457 0.0000
0.3543 0.1457 0.0000
0.6457 0.8543 0.0000
0.8543 0.3543 0.0000

---

ii:
LiHf2Pb2 PBE optimized geometry; crystal system = tetragonal; total magnetization = 0.152 μB/atom
1.0
8.7433 0.0000 0.0000
0.0000 8.7433 0.0000
0.0000 0.0000 3.2841
Li Hf Pb
2 4 4
direct
0.0000 0.0000 0.0000
0.5000 0.5000 0.0000
0.1220 0.3780 0.0000
0.3780 0.8780 0.0000
0.6220 0.1220 0.0000
0.8780 0.6220 0.0000
0.1743 0.6743 0.5000
0.3257 0.1743 0.5000
0.6743 0.8257 0.5000
0.8257 0.3257 0.5000

---

The computed energies, referenced to the most stable structure and given in meV/atom, are i 0; ii 12.

---

i:
LiHfPb3 PBE optimized geometry; crystal system = cubic; total magnetization = 0.000 μB/atom
1.0
5.6520 0.0000 0.0000
0.0000 5.6520 0.0000
0.0000 0.0000 5.6520
Li Hf Pb
1 1 3
direct
0.0000 0.0000 0.0000
0.5000 0.5000 0.5000
0.0000 0.5000 0.5000
0.5000 0.0000 0.5000
0.5000 0.5000 0.0000

---

ii:
LiHfPb3 PBE optimized geometry; crystal system = cubic; total magnetization = 0.000 μB/atom
1.0
5.0824 0.0000 0.0000
0.0000 5.0824 0.0000
0.0000 0.0000 5.0824
Li Hf Pb
1 1 3
direct
0.0000 0.0000 0.0000
0.5000 0.5000 0.5000
0.0000 0.0000 0.5000
0.0000 0.5000 0.0000
0.5000 0.0000 0.0000

---

The computed energies, referenced to the most stable structure and given in meV/atom, are i 0; ii 232.